PmAl2GaNi4 PBE-GGA optimized geometry; energy of formation from the pure elements = -0.50 eV/atom; D(E_F) = 0.51 states/eV per atom; E = -5.29 eV per atom; calculated volume = 15.072 Å³ per atom; magnetic moment = 0.00 μB per cell
1.0
4.075 0.000 0.000
2.037 3.529 0.000
2.037 1.176 8.385
Ni Al Ga Pm
4 2 1 1
Cartesian
6.112 3.529 3.356
4.075 2.353 6.550
4.075 2.353 1.835
2.037 1.176 5.029
6.112 3.529 5.990
2.037 1.176 2.395
4.075 2.353 4.193
0.000 0.000 0.000